Entry 1:
{"formula": "CrInW2", "functional": "PBE", "state": "relaxed", "lattice_angstrom": [[5.171, -0.047, 0.000], [-2.257, 4.652, 0.000], [0.000, 0.000, 2.781]], "species": ["In", "Cr", "W", "W"], "fractional_positions": [[0.000, 0.500, 0.500], [0.500, 0.000, 0.500], [0.500, 0.500, 0.000], [0.000, 0.000, 0.000]], "energy_ev_per_atom": -8.924, "vol_a3_per_cell": 66.6}

=====

Entry 2:
{"formula": "AlV2TcH", "functional": "PBE", "state": "relaxed", "lattice_angstrom": [[3.852, 0.000, 0.000], [0.000, 3.852, 0.000], [0.000, 0.000, 3.933]], "species": ["V", "V", "H", "Al", "Tc"], "fractional_positions": [[0.500, 0.000, 0.000], [0.000, 0.500, 0.000], [0.000, 0.000, 0.000], [0.500, 0.500, 0.500], [0.000, 0.000, 0.500]], "energy_ev_per_atom": -7.325, "vol_a3_per_cell": 58.4}

=====

Entry 3:
{"formula": "NaMgBi2", "functional": "PBE", "state": "relaxed", "lattice_angstrom": [[4.470, 0.000, 0.000], [0.000, 4.994, 0.000], [0.000, 0.000, 4.994]], "species": ["Bi", "Bi", "Na", "Mg"], "fractional_positions": [[0.000, 0.000, 0.500], [0.000, 0.500, 0.000], [0.500, 0.500, 0.500], [0.500, 0.000, 0.000]], "energy_ev_per_atom": -2.872, "vol_a3_per_cell": 111.5}

=====

Entry 4:
{"formula": "Sr2LiFeSb", "functional": "PBE", "state": "relaxed", "lattice_angstrom": [[5.889, 0.000, 0.000], [0.000, 4.642, 0.000], [0.000, 0.000, 5.889]], "species": ["Sb", "Fe", "Li", "Sr", "Sr"], "fractional_positions": [[0.000, 0.500, 0.000], [0.500, 0.500, 0.500], [0.000, 0.000, 0.000], [0.000, 0.000, 0.500], [0.500, 0.000, 0.000]], "raw_formation_energy_ev_per_atom": 0.32, "vol_a3_per_cell": 161.0}

=====

Entry 5:
{"formula": "PmMg2Al2Ga", "functional": "PBE", "state": "relaxed", "lattice_angstrom": [[5.346, 0.000, 0.000], [0.000, 5.346, 0.000], [-2.673, -2.673, 5.501]], "species": ["Mg", "Mg", "Al", "Al", "Ga", "Pm"], "fractional_positions": [[0.250, 0.750, 0.500], [0.750, 0.250, 0.500], [0.782, 0.782, 0.563], [0.218, 0.218, 0.437], [0.000, 0.000, 0.000], [0.500, 0.500, 0.000]], "energy_ev_per_atom": -2.834, "vol_a3_per_cell": 157.2}

=====

Entry 6:
{"formula": "Hf2ZrAgC", "functional": "PBE", "state": "relaxed", "lattice_angstrom": [[-3.024, 1.264, -3.064], [-2.361, -3.732, 0.790], [-2.358, 2.174, 3.224]], "species": ["Ag", "Zr", "Hf", "Hf", "C"], "fractional_positions": [[0.500, 0.500, 0.500], [0.000, 0.000, 0.500], [0.500, 0.000, 0.000], [0.000, 0.500, 0.000], [0.000, 0.000, 0.000]], "energy_ev_per_atom": -8.454, "vol_a3_per_cell": 91.5}

=====

Entry 7:
{"formula": "KMg", "functional": "PBE", "state": "relaxed", "lattice_angstrom": [[-2.223, 0.830, -3.238], [-3.341, -0.701, 2.114], [-0.348, 10.199, 2.843]], "species": ["Mg", "Mg", "K", "K"], "fractional_positions": [[0.698, 0.011, 0.698], [0.198, 0.510, 0.823], [0.197, 0.513, 0.447], [0.696, 0.011, 0.074]], "energy_ev_per_atom": -1.201, "vol_a3_per_cell": 170.8}

=====

Entry 8:
{"formula": "TbPm4Y3S8", "functional": "PBE", "state": "relaxed", "lattice_angstrom": [[-2.671, -7.463, 0.025], [6.108, -2.201, -4.651], [1.417, 3.725, 6.851]], "species": ["S", "S", "S", "S", "S", "S", "S", "S", "Y", "Y", "Y", "Pm", "Pm", "Pm", "Pm", "Tb"], "fractional_positions": [[0.254, 0.262, 0.008], [0.254, 0.262, 0.508], [0.246, 0.738, 0.493], [0.746, 0.738, 0.492], [0.746, 0.738, 0.992], [0.754, 0.262, 0.507], [0.754, 0.262, 0.008], [0.246, 0.738, 0.992], [0.000, 0.500, 0.500], [0.500, 0.500, 0.000], [0.500, 0.500, 0.500], [0.000, 0.000, 0.000], [0.500, 0.000, 0.000], [0.000, 0.000, 0.500], [0.500, 0.000, 0.500], [0.000, 0.500, 0.000]], "raw_formation_energy_ev_per_atom": -2.02, "vol_a3_per_cell": 356.1}

=====

Number 1: density of states at the Fermi level 4.59 states/eV per cell. Number 2: density of states at the Fermi level 3.60 states/eV per cell. Number 3: density of states at the Fermi level 1.66 states/eV per cell. Number 4: density of states at the Fermi level 7.36 states/eV per cell. Number 5: density of states at the Fermi level 3.37 states/eV per cell. Number 6: density of states at the Fermi level 2.09 states/eV per cell. Number 7: density of states at the Fermi level 1.39 states/eV per cell. Number 8: density of states at the Fermi level 8.49 states/eV per cell.